The following is a PBE+U calculation of a geometry-optimized LiCoF3 structure, from Alexandria via LeMat-Bulk.

Structure (POSCAR):
```
LiCoF3
1.0
5.128 0.000 0.000
-2.564 4.441 0.000
0.000 0.000 7.524
Li Co F
3 3 9
Direct
0.000 0.000 0.000 Li
0.000 0.000 0.313 Li
0.333 0.667 0.926 Li
0.000 0.000 0.651 Co
0.333 0.667 0.337 Co
0.667 0.333 0.000 Co
0.018 0.342 0.143 F
0.031 0.719 0.472 F
0.281 0.312 0.472 F
0.316 0.300 0.846 F
0.323 0.982 0.143 F
0.658 0.677 0.143 F
0.688 0.969 0.472 F
0.700 0.015 0.846 F
0.985 0.684 0.846 F
```

Calculated values
- Total magnetic moment: 9.00 μB per cell
- Symmetry: P3, No. 143
- Polymorph energy (0 for the lowest one): 0.109 eV per atom
- E_tot: -4.8453 eV per atom